# 1
Crystalline La6Tb2DySc at its relaxed geometry, computed with PBE.

Computed properties:
**Formation enthalpy at 0 K**: 1.9 eV/f.u.
**Crystal system**: monoclinic

a b c (Å): 11.4990 7.1011 8.9152
angles (deg): 90.00 107.12 90.00
Closest atoms and distances in Å follow each position.
Space group C2/m (No. 12)
Inequivalent atoms, fractional coordinates:
1 La 0.1327 0.0000 0.4245 (multiplicity 4)  1 Dy 3.64, 7 La 3.68-4.03, 3 Sc 4.00-4.08, 1 Tb 4.02
2 La 0.1778 0.2737 0.7928 (multiplicity 8)  2 La 3.21-3.59, 1 Sc 3.23, 2 Tb 3.28-3.52
3 Tb 0.0870 0.5000 0.1792 (multiplicity 4)  1 Tb 3.23, 4 La 3.28-3.52, 1 Sc 3.30
4 Dy 0.0000 0.0000 0.0000 (multiplicity 2)  10 La 3.64-3.96, 4 Tb 3.90
5 Sc 0.0000 0.5000 0.5000 (multiplicity 2)  4 La 3.23, 2 Tb 3.30



# 2
Crystalline LaTb5Dy2Sc at its relaxed geometry, computed with PBE.

Computed properties:
**Formation enthalpy at 0 K**: 1.6 eV/f.u.
**Crystal system**: orthorhombic

a b c (Å): 5.6078 19.7414 10.3983
angles (deg): 90.00 90.00 90.00
Closest atoms and distances in Å follow each position.
Space group Cmc2_1 (No. 36)
Inequivalent atoms, fractional coordinates:
1 La 0.0000 0.0849 0.0000 (multiplicity 4)  5 Tb 3.02-3.25
2 Tb 0.0000 0.0179 0.2855 (multiplicity 4)  2 La 3.02-3.25
3 Tb 0.0000 0.1244 0.5661 (multiplicity 4)  1 Sc 3.53, 4 Dy 3.53-3.58, 4 Tb 3.60-3.69
4 Tb 0.0000 0.2033 0.2519 (multiplicity 4)  4 Tb 3.39-3.68, 3 Sc 3.45-3.76, 1 La 3.51, 3 Dy 3.52-3.62
5 Tb 0.0000 0.2226 0.8682 (multiplicity 4)  1 La 3.04, 1 Dy 3.27, 2 Tb 3.39
6 Tb 0.0000 0.4815 0.5670 (multiplicity 4)  2 La 3.17, 3 Dy 3.35-3.53, 1 Sc 3.52
7 Dy 0.0000 0.3860 0.2797 (multiplicity 4)  1 Sc 3.34, 7 Tb 3.42-3.65, 2 La 3.67
8 Dy 0.0000 0.3880 0.8609 (multiplicity 4)  9 Tb 3.27-3.57, 1 Sc 3.55
9 Sc 0.0000 0.3032 0.5597 (multiplicity 4)  2 Dy 3.34-3.55, 7 Tb 3.45-3.58, 2 La 3.62



# 3
Crystalline La3Dy2ScTe6 at its relaxed geometry, computed with PBE.

Computed properties:
**Energy relative to the elements, uncorrected**: -1406 meV/atom
**Crystal system**: monoclinic

a b c (Å): 19.4121 4.4040 8.9489
angles (deg): 90.00 104.37 90.00
Closest atoms and distances in Å follow each position.
Space group C2/m (No. 12)
Inequivalent atoms, fractional coordinates:
1 La 0.0000 0.0000 0.0000 (multiplicity 2)  6 Te 3.21-3.27
2 La 0.1700 0.5000 0.3355 (multiplicity 4)  6 Te 3.22-3.24
3 Dy 0.1664 0.5000 0.8325 (multiplicity 4)  6 Te 3.07-3.09
4 Sc 0.0000 0.0000 0.5000 (multiplicity 2)  6 Te 2.96-3.01
5 Te 0.0019 0.5000 0.7304 (multiplicity 4)  2 Sc 3.01, 1 Dy 3.09, 3 La 3.24-3.27
6 Te 0.1576 0.0000 0.5896 (multiplicity 4)  1 Sc 2.96, 2 Dy 3.07, 3 La 3.22-3.24
7 Te 0.1703 0.0000 0.0738 (multiplicity 4)  3 Dy 3.07, 3 La 3.21-3.22



# 4
Crystalline LaDyScTe3 at its relaxed geometry, computed with PBE.

Computed properties:
**Energy relative to the elements, uncorrected**: -1268 meV/atom
**Crystal system**: monoclinic

a b c (Å): 8.9311 4.3486 9.9307
angles (deg): 90.00 105.70 90.00
Closest atoms and distances in Å follow each position.
Space group P2_1/m (No. 11)
Inequivalent atoms, fractional coordinates:
1 La 0.1831 0.2500 0.2333 (multiplicity 2)  7 Te 3.28-3.36
2 Dy 0.3318 0.7500 0.8434 (multiplicity 2)  6 Te 3.07-3.28
3 Sc 0.0916 0.2500 0.5952 (multiplicity 2)  4 Te 2.86-2.99, 2 Sc 3.05
4 Te 0.0983 0.2500 0.8851 (multiplicity 2)  1 Sc 2.86, 2 Dy 3.12
5 Te 0.2563 0.7500 0.5018 (multiplicity 2)  3 Sc 2.91-2.99
6 Te 0.4306 0.7500 0.1700 (multiplicity 2)  3 Dy 3.07-3.12, 2 La 3.28



# 5
Crystalline LaDy2ScTe4 at its relaxed geometry, computed with PBE.

Computed properties:
**Energy relative to the elements, uncorrected**: -1287 meV/atom
**Crystal system**: monoclinic

a b c (Å): 7.5838 4.3267 7.6322
angles (deg): 90.00 108.88 90.00
Closest atoms and distances in Å follow each position.
Space group P2/m (No. 10)
Inequivalent atoms, fractional coordinates:
1 La 0.0000 0.0000 0.0000 (multiplicity 1)  6 Te 3.16
2 Dy 0.5000 0.0000 0.5000 (multiplicity 1)  6 Te 3.03
3 Dy 0.5000 0.5000 0.0000 (multiplicity 1)  6 Te 3.15
4 Sc 0.0000 0.5000 0.5000 (multiplicity 1)  6 Te 3.04
5 Te 0.2463 0.0000 0.7357 (multiplicity 2)  3 Dy 3.03-3.15, 2 Sc 3.04, 1 La 3.16
6 Te 0.2564 0.5000 0.2654 (multiplicity 2)  3 Dy 3.03-3.15, 1 Sc 3.04, 2 La 3.16



# 6
Crystalline LaDyThSc at its relaxed geometry, computed with PBE.

Computed properties:
**Formation enthalpy at 0 K**: 0.4 eV/f.u.
**Crystal system**: cubic
**Energy above the lowest structure with this stoichiometry**: 79 meV/atom

a b c (Å): 7.9320 7.9320 7.9320
angles (deg): 90.00 90.00 90.00
Closest atoms and distances in Å follow each position.
Space group F-43m (No. 216)
Inequivalent atoms, fractional coordinates:
1 La 0.0000 0.0000 0.0000 (multiplicity 4)  4 Dy 3.43, 4 Sc 3.43
2 Dy 0.2500 0.2500 0.2500 (multiplicity 4)  4 Th 3.43, 4 La 3.43
3 Th 0.0000 0.0000 0.5000 (multiplicity 4)  4 Sc 3.43, 4 Dy 3.43
4 Sc 0.2500 0.2500 0.7500 (multiplicity 4)  4 La 3.43, 4 Th 3.43



Respective calculated volume values: 348, 288, 371, 186, 237, 125 Å³/f.u..
Respective E_tot values: -0.176, -0.172, -0.202, -0.201, -0.199, -0.210 Ha/atom.